# ZrTa2Al, relaxed, DFT PBE-GGA
data_ZrTa2Al
_cell_length_a 2.925
_cell_length_b 4.869
_cell_length_c 5.336
_cell_angle_alpha 90.00
_cell_angle_beta 97.28
_cell_angle_gamma 90.00
_space_group_name_H-M_alt 'P 1 2/m 1'
_space_group_IT_number 10
_space_group_name_Hall '-P 2y'
loop_
_atom_site_label
_atom_site_fract_x
_atom_site_fract_y
_atom_site_fract_z
Zr1 0.000 0.000 0.000
Ta1 0.276 0.500 0.752
Al1 0.500 0.000 0.500
# Crystal system   monoclinic
# Magnetic moment   0.00 μB per atom
# E_form   -0.02 eV/atom
# Uncorrected energy   -9.0146 eV/atom